Arrangement one

DFT (PBE) results for an optimized crystal structure of ZrCd2Br.

Size of the total moment = 0.00 μB per formula unit

abc: 3.4146 3.4146 29.7281
angles: 90.00 90.00 120.00
Space group R3m (No. 160, hexagonal axes)
Inequivalent atoms, fractional coordinates:
Zr: 0.0000 0.0000 0.0000 (multiplicity 3)
Cd: 0.0000 0.0000 0.4918 (multiplicity 3)
Cd: 0.0000 0.0000 0.7465 (multiplicity 3)
Br: 0.0000 0.0000 0.2683 (multiplicity 3)


Arrangement two

DFT (PBE) results for an optimized crystal structure of ZrCd2Br.

Size of the total moment = 0.00 μB per formula unit

abc: 8.526 8.526 5.620
angles: 90.00 90.00 90.00
Space group I-42d (No. 122)
Inequivalent atoms, fractional coordinates:
Zr: 0.000 0.000 0.000 (multiplicity 4)
Cd: 0.236 0.250 0.125 (multiplicity 8)
Br: 0.000 0.000 0.500 (multiplicity 4)


It is arrangement two that is the least stable of them.


Arrangement one

DFT (PBE) results for an optimized crystal structure of ZrCd2Br.

Size of the total moment = 0.00 μB per formula unit

abc: 4.492 4.492 9.036
angles: 90.00 90.00 90.00
Space group I-4m2 (No. 119)
Inequivalent atoms, fractional coordinates:
Zr: 0.000 0.000 0.000 (multiplicity 2)
Cd: 0.000 0.000 0.500 (multiplicity 2)
Cd: 0.000 0.500 0.250 (multiplicity 2)
Br: 0.000 0.500 0.750 (multiplicity 2)


Arrangement two

DFT (PBE) results for an optimized crystal structure of ZrCd2Br.

Size of the total moment = 0.00 μB per formula unit

abc: 4.085 4.085 5.452
angles: 90.00 90.00 90.00
Space group P4/mmm (No. 123)
Inequivalent atoms, fractional coordinates:
Zr: 0.000 0.000 0.000 (multiplicity 1)
Cd: 0.000 0.500 0.500 (multiplicity 2)
Br: 0.500 0.500 0.000 (multiplicity 1)


It is arrangement two that is the least stable of them.


Arrangement one

DFT (PBE) results for an optimized crystal structure of ZrCd2Br.

Size of the total moment = 0.00 μB per formula unit

abc: 3.250 5.005 14.475
angles: 90.00 90.00 90.00
Space group Imm2 (No. 44)
Inequivalent atoms, fractional coordinates:
Zr: 0.000 0.000 0.000 (multiplicity 2)
Cd: 0.000 0.000 0.442 (multiplicity 2)
Cd: 0.000 0.500 0.323 (multiplicity 2)
Br: 0.000 0.500 0.650 (multiplicity 2)


Arrangement two

DFT (PBE) results for an optimized crystal structure of ZrCd2Br.

Size of the total moment = 0.00 μB per formula unit

abc: 7.120 7.120 7.120
angles: 90.00 90.00 90.00
Space group F-43m (No. 216)
Inequivalent atoms, fractional coordinates:
Zr: 0.000 0.000 0.000 (multiplicity 4)
Cd: 0.000 0.000 0.500 (multiplicity 4)
Cd: 0.250 0.250 0.250 (multiplicity 4)
Br: 0.250 0.250 0.750 (multiplicity 4)


Arrangement three

DFT (PBE) results for an optimized crystal structure of ZrCd2Br.

Size of the total moment = 0.23 μB per formula unit

abc: 3.335 3.335 8.623
angles: 90.00 90.00 90.00
Space group P4/mmm (No. 123)
Inequivalent atoms, fractional coordinates:
Zr: 0.000 0.000 0.000 (multiplicity 1)
Cd: 0.500 0.500 0.241 (multiplicity 2)
Br: 0.000 0.000 0.500 (multiplicity 1)


Arrangement four

DFT (PBE) results for an optimized crystal structure of ZrCd2Br.

Size of the total moment = 0.00 μB per formula unit

abc: 5.234 5.234 3.533
angles: 90.00 90.00 90.00
Space group P4/mmm (No. 123)
Inequivalent atoms, fractional coordinates:
Zr: 0.000 0.000 0.000 (multiplicity 1)
Cd: 0.000 0.500 0.500 (multiplicity 2)
Br: 0.500 0.500 0.000 (multiplicity 1)


It is arrangement two that is the least stable of them.


Arrangement one

DFT (PBE) results for an optimized crystal structure of ZrCd2Br.

Size of the total moment = 0.00 μB per formula unit

abc: 3.151 4.695 13.386
angles: 90.00 90.00 90.00
Space group Immm (No. 71)
Inequivalent atoms, fractional coordinates:
Zr: 0.000 0.000 0.000 (multiplicity 2)
Cd: 0.000 0.500 0.295 (multiplicity 4)
Br: 0.000 0.000 0.500 (multiplicity 2)


Arrangement two

DFT (PBE) results for an optimized crystal structure of ZrCd2Br.

Size of the total moment = 0.00 μB per formula unit

abc: 3.4392 3.4392 28.2134
angles: 90.00 90.00 120.00
Space group R-3m (No. 166, hexagonal axes)
Inequivalent atoms, fractional coordinates:
Zr: 0.0000 0.0000 0.0000 (multiplicity 3)
Cd: 0.0000 0.0000 0.2478 (multiplicity 6)
Br: 0.0000 0.0000 0.5000 (multiplicity 3)


It is arrangement one that is the least stable of them.